1.
CsRb2CdH5 | GGA-PBE | optimized geometry

The value obtained for the magnetization is 0.0 μB per cell. As for the theoretical density: 3.45 g/cm³. The calculation puts the total energy at -2.45 eV/atom.

It has space group I4/mcm (No. 140), with a = 8.091 Å, b = 8.091 Å, c = 12.384 Å, α = 90.00°, β = 90.00° and γ = 90.00°. The distinct sites, in fractional coordinates, are Cs at (0.000, 0.000, 0.250), Rb at (0.181, 0.319, 0.000), Cd at (0.000, 0.500, 0.250), H at (0.000, 0.000, 0.000) and H at (0.128, 0.372, 0.342).

2.
Cs2RbCdH4 | GGA-PBE | optimized geometry

The value obtained for the magnetization is 0.0 μB per cell. As for the theoretical density: 3.68 g/cm³. The calculation puts the total energy at -2.13 eV/atom.

It has space group I-4 (No. 82), with a = 6.862 Å, b = 6.862 Å, c = 8.974 Å, α = 90.00°, β = 90.00° and γ = 90.00°. The distinct sites, in fractional coordinates, are Cs at (0.000, 0.000, 0.000), Cs at (0.000, 0.500, 0.250), Rb at (0.000, 0.000, 0.500), Cd at (0.000, 0.500, 0.750) and H at (0.174, 0.697, 0.672).

3.
Cs2RbCdH5 | GGA-PBE | optimized geometry

The value obtained for the magnetization is 0.0 μB per cell. As for the theoretical density: 3.59 g/cm³. The calculation puts the total energy at -2.43 eV/atom.

It has space group I4/mcm (No. 140), with a = 8.318 Å, b = 8.318 Å, c = 12.536 Å, α = 90.00°, β = 90.00° and γ = 90.00°. The distinct sites, in fractional coordinates, are Cs at (0.181, 0.319, 0.000), Rb at (0.000, 0.000, 0.250), Cd at (0.000, 0.500, 0.250), H at (0.000, 0.000, 0.000) and H at (0.127, 0.373, 0.337).

4.
CsRb2CdH | GGA-PBE | optimized geometry

The value obtained for the magnetization is 0.0 μB per cell. As for the theoretical density: 3.12 g/cm³. The calculation puts the total energy at -1.43 eV/atom.

It has space group P4/mmm (No. 123), with a = 5.954 Å, b = 5.954 Å, c = 6.258 Å, α = 90.00°, β = 90.00° and γ = 90.00°. The distinct sites, in fractional coordinates, are Cs at (0.000, 0.000, 0.000), Rb at (0.000, 0.500, 0.500), Cd at (0.500, 0.500, 0.000) and H at (0.000, 0.000, 0.500).

5.
Cs3RbCd2H8 | GGA-PBE | optimized geometry

The value obtained for the magnetization is 0.0 μB per cell. As for the theoretical density: 3.59 g/cm³. The calculation puts the total energy at -2.46 eV/atom.

It has space group P-3m1 (No. 164), with a = 6.6372 Å, b = 6.6372 Å, c = 8.6918 Å, α = 90.00°, β = 90.00° and γ = 120.00°. The distinct sites, in fractional coordinates, are Cs at (0.0000, 0.0000, 0.0000), Cs at (0.3333, 0.6667, 0.6835), Rb at (0.0000, 0.0000, 0.5000), Cd at (0.3333, 0.6667, 0.2215), H at (0.1831, 0.3663, 0.3004) and H at (0.3333, 0.6667, 0.0139).

6.
CsCdH6Ru | GGA-PBE | optimized geometry

The value obtained for the magnetization is 0.0 μB per cell. As for the theoretical density: 4.63 g/cm³. The calculation puts the total energy at -3.54 eV/atom.

It has space group P1 (No. 1), with a = 4.206 Å, b = 5.088 Å, c = 6.481 Å, α = 95.73°, β = 90.31° and γ = 113.61°. The distinct sites, in fractional coordinates, are Cs at (0.000, 0.000, 0.000), Cd at (0.677, 0.346, 0.520), H at (0.006, 0.820, 0.484), H at (0.076, 0.573, 0.281), H at (0.256, 0.482, 0.646), H at (0.457, 0.542, 0.288), H at (0.485, 0.985, 0.694), H at (0.502, 0.981, 0.297) and Ru at (0.358, 0.740, 0.472).

7.
Cs2CdSbH | GGA-PBE | optimized geometry

The value obtained for the magnetization is 0.0 μB per cell. As for the theoretical density: 4.19 g/cm³. The calculation puts the total energy at -2.35 eV/atom.

It has space group P2_1/m (No. 11), with a = 7.986 Å, b = 4.837 Å, c = 10.913 Å, α = 90.00°, β = 109.57° and γ = 90.00°. The distinct sites, in fractional coordinates, are Cs at (0.192, 0.250, 0.404), Cs at (0.217, 0.250, 0.952), Cd at (0.452, 0.750, 0.242), Sb at (0.353, 0.750, 0.713) and H at (0.201, 0.750, 0.174).

8.
Cs2CdSnH6 | GGA-PBE | optimized geometry

The value obtained for the magnetization is 0.0 μB per cell. As for the theoretical density: 4.46 g/cm³. The calculation puts the total energy at -2.65 eV/atom.

It has space group Fmmm (No. 69), with a = 9.008 Å, b = 9.023 Å, c = 9.214 Å, α = 90.00°, β = 90.00° and γ = 90.00°. The distinct sites, in fractional coordinates, are Cs at (0.250, 0.250, 0.250), Cd at (0.000, 0.000, 0.000), Sn at (0.000, 0.000, 0.500), H at (0.000, 0.000, 0.291), H at (0.000, 0.213, 0.500) and H at (0.213, 0.000, 0.500).